# 1
# Li4Ga4P4O17F3 PBE-GGA relaxed
# - Uncorrected formation energy: -212.0 kJ/mol of atoms
# - D(E_F): 0.1780 states/eV/atom
data_Li4Ga4P4O17F3
_chemical_formula_sum 'Li4 Ga4 P4 O17 F3'
_symmetry_space_group_name_H-M 'P 1'
_symmetry_Int_Tables_number 1
_cell_length_a 6.841
_cell_length_b 7.479
_cell_length_c 7.638
_cell_angle_alpha 116.61
_cell_angle_beta 91.12
_cell_angle_gamma 90.59
loop_
_symmetry_equiv_pos_as_xyz
'x,y,z'
loop_
_atom_site_label
_atom_site_type_symbol
_atom_site_fract_x
_atom_site_fract_y
_atom_site_fract_z
_atom_site_occupancy
Li1 Li 0.000 0.000 0.000 1
Li2 Li 0.160 0.397 0.921 1
Li3 Li 0.462 0.555 0.448 1
Li4 Li 0.658 0.905 0.407 1
Ga1 Ga 0.071 0.230 0.438 1
Ga2 Ga 0.310 0.985 0.680 1
Ga3 Ga 0.559 0.723 0.927 1
Ga4 Ga 0.814 0.474 0.178 1
P1 P 0.208 0.759 0.219 1
P2 P 0.423 0.190 0.140 1
P3 P 0.708 0.262 0.724 1
P4 P 0.914 0.696 0.634 1
O1 O 0.039 0.516 0.599 1
O2 O 0.046 0.877 0.662 1
O3 O 0.077 0.584 0.206 1
O4 O 0.089 0.941 0.238 1
O5 O 0.203 0.207 0.651 1
O6 O 0.267 0.134 0.970 1
O7 O 0.314 0.666 0.021 1
O8 O 0.319 0.283 0.341 1
O9 O 0.359 0.815 0.393 1
O10 O 0.544 0.008 0.113 1
O11 O 0.551 0.369 0.156 1
O12 O 0.578 0.439 0.746 1
O13 O 0.580 0.081 0.703 1
O14 O 0.761 0.646 0.461 1
O15 O 0.808 0.774 0.832 1
O16 O 0.817 0.174 0.526 1
O17 O 0.860 0.327 0.897 1
F1 F 0.415 0.753 0.713 1
F2 F 0.707 0.703 0.144 1
F3 F 0.923 0.249 0.215 1

=====

# 2
# LiHf2WCl PBE-GGA relaxed
# - Uncorrected formation energy: 90.6 kJ/mol of atoms
# - D(E_F): 0.7189 states/eV/atom
data_LiHf2WCl
_chemical_formula_sum 'Li1 Hf2 W1 Cl1'
_symmetry_space_group_name_H-M 'P 4/m m m'
_symmetry_Int_Tables_number 123
_symmetry_space_group_name_Hall '-P 4 2'
_cell_length_a 5.111
_cell_length_b 5.111
_cell_length_c 5.026
_cell_angle_alpha 90.00
_cell_angle_beta 90.00
_cell_angle_gamma 90.00
loop_
_atom_site_label
_atom_site_type_symbol
_atom_site_fract_x
_atom_site_fract_y
_atom_site_fract_z
_atom_site_occupancy
Li1 Li 0.000 0.000 0.000 1
Hf1 Hf 0.000 0.500 0.500 1
W1 W 0.500 0.500 0.500 1
Cl1 Cl 0.500 0.500 0.000 1

=====

# 3
# PmNd2Y2 PBE-GGA relaxed
# - DFT formation energy: 0.478 eV/atom
# - D(E_F): 1.7463 states/eV/atom
# - Energy above the most stable polymorph in this dataset: 477 meV/atom
data_PmNd2Y2
_chemical_formula_sum 'Pm8 Nd16 Y16'
_symmetry_space_group_name_H-M 'F d d d'
_symmetry_Int_Tables_number 70
_cell_length_a 5.713
_cell_length_b 11.653
_cell_length_c 22.967
_cell_angle_alpha 90.00
_cell_angle_beta 90.00
_cell_angle_gamma 90.00
loop_
_symmetry_equiv_pos_as_xyz
'x,y,z'
'-x,-y,-z'
'-x+1/4,-y+1/4,z'
'x+1/4,y+1/4,-z'
'x,-y+1/4,-z+1/4'
'-x,y+1/4,z+1/4'
'-x+1/4,y,-z+1/4'
'x+1/4,-y,z+1/4'
'x,y+1/2,z+1/2'
'-x,-y+1/2,-z+1/2'
'-x+1/4,-y+3/4,z+1/2'
'x+1/4,y+3/4,-z+1/2'
'x,-y+3/4,-z+3/4'
'-x,y+3/4,z+3/4'
'-x+1/4,y+1/2,-z+3/4'
'x+1/4,-y+1/2,z+3/4'
'x+1/2,y,z+1/2'
'-x+1/2,-y,-z+1/2'
'-x+3/4,-y+1/4,z+1/2'
'x+3/4,y+1/4,-z+1/2'
'x+1/2,-y+1/4,-z+3/4'
'-x+1/2,y+1/4,z+3/4'
'-x+3/4,y,-z+3/4'
'x+3/4,-y,z+3/4'
'x+1/2,y+1/2,z'
'-x+1/2,-y+1/2,-z'
'-x+3/4,-y+3/4,z'
'x+3/4,y+3/4,-z'
'x+1/2,-y+3/4,-z+1/4'
'-x+1/2,y+3/4,z+1/4'
'-x+3/4,y+1/2,-z+1/4'
'x+3/4,-y+1/2,z+1/4'
loop_
_atom_site_label
_atom_site_type_symbol
_atom_site_fract_x
_atom_site_fract_y
_atom_site_fract_z
_atom_site_occupancy
Pm1 Pm 0.125 0.125 0.125 1
Nd1 Nd 0.125 0.288 0.625 1
Y1 Y 0.000 0.000 0.000 1

=====

# 4
# CrPbW PBE-GGA relaxed
# - DFT formation energy: 0.825 eV/atom
# - D(E_F): 0.8773 states/eV/atom
# - Energy above the most stable polymorph in this dataset: 110 meV/atom
data_CrPbW
_chemical_formula_sum 'Cr4 Pb4 W4'
_symmetry_space_group_name_H-M 'F m m 2'
_symmetry_Int_Tables_number 42
_symmetry_space_group_name_Hall 'F 2 -2'
_cell_length_a 3.302
_cell_length_b 5.006
_cell_length_c 13.576
_cell_angle_alpha 90.00
_cell_angle_beta 90.00
_cell_angle_gamma 90.00
loop_
_atom_site_label
_atom_site_type_symbol
_atom_site_fract_x
_atom_site_fract_y
_atom_site_fract_z
_atom_site_occupancy
Cr1 Cr 0.000 0.000 0.000 1
Pb1 Pb 0.000 0.000 0.679 1
W1 W 0.000 0.000 0.374 1

=====

# 5
# AcTb2NdSe4 PBE-GGA relaxed
# - Uncorrected formation energy: -173.8 kJ/mol of atoms
# - D(E_F): 0.4988 states/eV/atom
data_AcTb2NdSe4
_chemical_formula_sum 'Ac1 Tb2 Nd1 Se4'
_symmetry_space_group_name_H-M 'P 1 2/m 1'
_symmetry_Int_Tables_number 10
_cell_length_a 7.212
_cell_length_b 4.140
_cell_length_c 7.532
_cell_angle_alpha 90.00
_cell_angle_beta 108.48
_cell_angle_gamma 90.00
loop_
_symmetry_equiv_pos_as_xyz
'x,y,z'
'-x,-y,-z'
'-x,y,-z'
'x,-y,z'
loop_
_atom_site_label
_atom_site_type_symbol
_atom_site_fract_x
_atom_site_fract_y
_atom_site_fract_z
_atom_site_occupancy
Ac1 Ac 0.000 0.000 0.000 1
Tb1 Tb 0.000 0.500 0.500 1
Tb2 Tb 0.500 0.000 0.500 1
Nd1 Nd 0.500 0.500 0.000 1
Se1 Se 0.249 0.000 0.732 1
Se2 Se 0.263 0.500 0.273 1

=====

# 6
# Sm2TmIr PBE-GGA relaxed
# - DFT formation energy: -0.427 eV/atom
# - D(E_F): 0.8540 states/eV/atom
# - Energy above the most stable polymorph in this dataset: 100 meV/atom
data_Sm2TmIr
_chemical_formula_sum 'Sm8 Tm4 Ir4'
_symmetry_space_group_name_H-M 'P n n a'
_symmetry_Int_Tables_number 52
_cell_length_a 6.793
_cell_length_b 6.346
_cell_length_c 11.521
_cell_angle_alpha 90.00
_cell_angle_beta 90.00
_cell_angle_gamma 90.00
loop_
_symmetry_equiv_pos_as_xyz
'x,y,z'
'-x,-y,-z'
'-x+1/2,-y,z'
'x+1/2,y,-z'
'x,-y+1/2,-z+1/2'
'-x,y+1/2,z+1/2'
'-x+1/2,y+1/2,-z+1/2'
'x+1/2,-y+1/2,z+1/2'
loop_
_atom_site_label
_atom_site_type_symbol
_atom_site_fract_x
_atom_site_fract_y
_atom_site_fract_z
_atom_site_occupancy
Sm1 Sm 0.089 0.247 0.087 1
Tm1 Tm 0.069 0.250 0.750 1
Ir1 Ir 0.250 0.000 0.908 1

=====

# 7
# PaMnZnRu PBE-GGA relaxed
# - DFT formation energy: -0.143 eV/atom
# - D(E_F): 0.7274 states/eV/atom
data_PaMnZnRu
_chemical_formula_sum 'Pa4 Mn4 Zn4 Ru4'
_symmetry_space_group_name_H-M 'F -4 3 m'
_symmetry_Int_Tables_number 216
_symmetry_space_group_name_Hall 'F -4 2 3'
_cell_length_a 6.419
_cell_length_b 6.419
_cell_length_c 6.419
_cell_angle_alpha 90.00
_cell_angle_beta 90.00
_cell_angle_gamma 90.00
loop_
_atom_site_label
_atom_site_type_symbol
_atom_site_fract_x
_atom_site_fract_y
_atom_site_fract_z
_atom_site_occupancy
Pa1 Pa 0.000 0.000 0.000 1
Mn1 Mn 0.250 0.250 0.750 1
Zn1 Zn 0.000 0.000 0.500 1
Ru1 Ru 0.250 0.250 0.250 1

=====

Please write out number 4 again, unchanged.
# CrPbW PBE-GGA relaxed
# - DFT formation energy: 0.825 eV/atom
# - D(E_F): 0.8773 states/eV/atom
# - Energy above the most stable polymorph in this dataset: 110 meV/atom
data_CrPbW
_chemical_formula_sum 'Cr4 Pb4 W4'
_symmetry_space_group_name_H-M 'F m m 2'
_symmetry_Int_Tables_number 42
_symmetry_space_group_name_Hall 'F 2 -2'
_cell_length_a 3.302
_cell_length_b 5.006
_cell_length_c 13.576
_cell_angle_alpha 90.00
_cell_angle_beta 90.00
_cell_angle_gamma 90.00
loop_
_atom_site_label
_atom_site_type_symbol
_atom_site_fract_x
_atom_site_fract_y
_atom_site_fract_z
_atom_site_occupancy
Cr1 Cr 0.000 0.000 0.000 1
Pb1 Pb 0.000 0.000 0.679 1
W1 W 0.000 0.000 0.374 1

=====

- D(E_F) of number 4 (CrPbW)?
  0.8773 states/eV/atom

=====

- What is the D(E_F) in the sixth record?
  0.8540 states/eV/atom

=====

- Among the records above, which one has the highest D(E_F)?
  PmNd2Y2